Entry from the Alexandria database: crystalline PuSiHg at its relaxed geometry (GGA-PBE).

ΔE_f (raw) ... -0.09 eV per atom
Distance to the lowest polymorph of the same formula ... 18.52 kJ per mole of atoms

a b c (Å): 4.715 4.715 3.387
angles (deg): 90.00 90.00 120.00
Atoms (fractional coordinates):
Pu 0.000 0.000 0.000
Si 0.333 0.667 0.500
Hg 0.667 0.333 0.500

***

Entry from the Alexandria database: crystalline SmPuSiHg at its relaxed geometry (GGA-PBE).

ΔE_f (raw) ... -0.30 eV per atom

a b c (Å): 5.193 5.193 5.193
angles (deg): 60.00 60.00 60.00
Atoms (fractional coordinates):
Sm 0.000 0.000 0.000
Pu 0.500 0.500 0.500
Si 0.750 0.750 0.750
Hg 0.250 0.250 0.250

***

Entry from the Alexandria database: crystalline SrPuSiHg at its relaxed geometry (GGA-PBE).

ΔE_f (raw) ... -0.21 eV per atom

a b c (Å): 5.342 5.342 5.342
angles (deg): 60.00 60.00 60.00
Atoms (fractional coordinates):
Sr 0.000 0.000 0.000
Pu 0.500 0.500 0.500
Si 0.750 0.750 0.750
Hg 0.250 0.250 0.250

***

Entry from the Alexandria database: crystalline YPuSiHg at its relaxed geometry (GGA-PBE).

ΔE_f (raw) ... -0.31 eV per atom

a b c (Å): 5.143 5.143 5.143
angles (deg): 60.00 60.00 60.00
Atoms (fractional coordinates):
Y 0.000 0.000 0.000
Pu 0.500 0.500 0.500
Si 0.750 0.750 0.750
Hg 0.250 0.250 0.250

***

Entry from the Alexandria database: crystalline Sm2PuHg4 at its relaxed geometry (GGA-PBE).

ΔH_f (0 K) ... -0.2280 eV per atom

a b c (Å): 5.300 5.300 7.217
angles (deg): 90.00 90.00 90.00
Atoms (fractional coordinates):
Sm 0.000 0.000 0.000
Sm 0.500 0.500 0.500
Pu 0.000 0.000 0.500
Hg 0.000 0.500 0.237
Hg 0.000 0.500 0.763
Hg 0.500 0.000 0.237
Hg 0.500 0.000 0.763

***

Entry from the Alexandria database: crystalline Sm2PuHg6 at its relaxed geometry (GGA-PBE).

ΔH_f (0 K) ... -0.3319 eV per atom

a b c (Å): 8.776 8.776 3.354
angles (deg): 90.00 90.00 120.00
Atoms (fractional coordinates):
Sm 0.333 0.667 0.000
Sm 0.667 0.333 0.000
Pu 0.000 0.000 0.000
Hg 0.000 0.334 0.500
Hg 0.000 0.666 0.500
Hg 0.334 0.000 0.500
Hg 0.334 0.334 0.500
Hg 0.666 0.000 0.500
Hg 0.666 0.666 0.500

***

Entry from the Alexandria database: crystalline SmPu4Hg5 at its relaxed geometry (GGA-PBE).

ΔH_f (0 K) ... -0.1685 eV per atom

a b c (Å): 3.599 3.599 20.550
angles (deg): 90.00 90.00 90.00
Atoms (fractional coordinates):
Sm 0.000 0.000 0.000
Pu 0.000 0.000 0.199
Pu 0.000 0.000 0.400
Pu 0.000 0.000 0.600
Pu 0.000 0.000 0.801
Hg 0.500 0.500 0.098
Hg 0.500 0.500 0.300
Hg 0.500 0.500 0.500
Hg 0.500 0.500 0.700
Hg 0.500 0.500 0.902

***

Entry from the Alexandria database: crystalline SmPuHg4 at its relaxed geometry (GGA-PBE).

Distance to the lowest polymorph of the same formula ... 17.13 kJ per mole of atoms
ΔH_f (0 K) ... -0.1165 eV per atom

a b c (Å): 6.002 6.002 6.002
angles (deg): 60.00 60.00 60.00
Atoms (fractional coordinates):
Sm 0.000 0.000 0.000
Pu 0.250 0.250 0.250
Hg 0.125 0.625 0.625
Hg 0.625 0.125 0.625
Hg 0.625 0.625 0.125
Hg 0.625 0.625 0.625

***

Entry from the Alexandria database: crystalline SmPuHg at its relaxed geometry (GGA-PBE).

Distance to the lowest polymorph of the same formula ... 2.34 kJ per mole of atoms
ΔH_f (0 K) ... -0.1054 eV per atom

a b c (Å): 7.118 7.118 7.118
angles (deg): 150.87 150.87 41.67
Atoms (fractional coordinates):
Sm 0.000 0.000 0.000
Pu 0.689 0.689 0.000
Hg 0.346 0.346 0.000

***

Entry from the Alexandria database: crystalline Sm3PuHg6 at its relaxed geometry (GGA-PBE).

ΔH_f (0 K) ... -0.3460 eV per atom

a b c (Å): 9.285 5.237 11.439
angles (deg): 90.00 109.09 90.00
Atoms (fractional coordinates):
Sm 0.022 0.250 0.379
Sm 0.146 0.750 0.210
Sm 0.277 0.250 0.982
Sm 0.723 0.750 0.018
Sm 0.854 0.250 0.790
Sm 0.978 0.750 0.621
Pu 0.449 0.250 0.588
Pu 0.551 0.750 0.412
Hg 0.029 0.750 0.918
Hg 0.164 0.250 0.688
Hg 0.243 0.750 0.505
Hg 0.345 0.250 0.288
Hg 0.352 0.750 0.816
Hg 0.436 0.750 0.117
Hg 0.564 0.250 0.883
Hg 0.648 0.250 0.184
Hg 0.655 0.750 0.712
Hg 0.757 0.250 0.495
Hg 0.836 0.750 0.312
Hg 0.971 0.250 0.082

***

Entry from the Alexandria database: crystalline SmPuHg at its relaxed geometry (GGA-PBE).

Distance to the lowest polymorph of the same formula ... 0.00 kJ per mole of atoms
ΔH_f (0 K) ... -0.1297 eV per atom

a b c (Å): 6.163 6.163 8.171
angles (deg): 107.55 107.55 34.73
Atoms (fractional coordinates):
Sm 0.166 0.166 0.118
Sm 0.834 0.834 0.882
Pu 0.137 0.137 0.530
Pu 0.863 0.863 0.470
Hg 0.464 0.464 0.215
Hg 0.536 0.536 0.785

***

Entry from the Alexandria database: crystalline SmPuHg4 at its relaxed geometry (GGA-PBE).

Distance to the lowest polymorph of the same formula ... 0.00 kJ per mole of atoms
ΔH_f (0 K) ... -0.2940 eV per atom

a b c (Å): 3.285 5.095 8.833
angles (deg): 90.00 90.00 90.00
Atoms (fractional coordinates):
Sm 0.000 0.000 0.000
Pu 0.000 0.500 0.500
Hg 0.500 0.000 0.333
Hg 0.500 0.000 0.667
Hg 0.500 0.500 0.166
Hg 0.500 0.500 0.834

***

The evaluated calculated volume for the records listed, in turn: 65.2, 99.0, 107.8, 96.2, 202.7, 223.7, 266.1, 152.9, 85.3, 525.7, 167.7, 147.8 Å³/cell.